TaPdSe3 | Alexandria | PBE | relaxed; distance to the lowest polymorph of the same formula = 0.727 eV per atom; E_form (uncorrected) = 0.1802 eV per atom
1.0
5.005 0.000 0.000
0.000 5.005 0.000
0.000 0.000 5.005
Se Pd Ta
3 1 1
direct
0.500 0.000 0.000
0.000 0.500 0.000
0.000 0.000 0.500
0.500 0.500 0.500
0.000 0.000 0.000